Material: Tm6Ga2Pt
Method: DFT, GGA-PBE
State: optimized geometry

## Properties
Raw total energy, eV per atom: -4.9008
Fermi-level density of states, states/eV per cell: 13.7
DFT formation energy, eV/atom: -0.5760
Symmetry: No. 71

The structure in CIF format:
```
data_Tm6Ga2Pt
_cell_length_a 8.317
_cell_length_b 8.317
_cell_length_c 8.317
_cell_angle_alpha 108.19
_cell_angle_beta 110.37
_cell_angle_gamma 109.86
_symmetry_space_group_name_H-M 'P 1'
_symmetry_Int_Tables_number 1
loop_
_symmetry_equiv_pos_as_xyz
'x,y,z'
loop_
_atom_site_label
_atom_site_type_symbol
_atom_site_fract_x
_atom_site_fract_y
_atom_site_fract_z
Tm1 Tm 0.434 0.260 0.174
Tm2 Tm 0.713 0.041 0.328
Tm3 Tm 0.810 0.258 0.068
Tm4 Tm 0.810 0.742 0.552
Tm5 Tm 0.713 0.385 0.672
Tm6 Tm 0.190 0.258 0.448
Tm7 Tm 0.085 0.260 0.826
Tm8 Tm 0.287 0.959 0.672
Tm9 Tm 0.566 0.740 0.826
Tm10 Tm 0.190 0.742 0.932
Tm11 Tm 0.915 0.740 0.174
Tm12 Tm 0.287 0.615 0.328
Ga1 Ga 0.500 0.627 0.127
Ga2 Ga 0.500 0.373 0.873
Ga3 Ga 0.358 0.000 0.358
Ga4 Ga 0.642 0.000 0.642
Pt1 Pt 0.000 0.500 0.500
Pt2 Pt 0.000 0.000 0.000
```


Material: SbMoPI2
Method: DFT, GGA-PBE
State: optimized geometry

## Properties
Raw total energy, eV per atom: -3.5370
Fermi-level density of states, states/eV per cell: 3.4
Symmetry: No. 123

The structure in CIF format:
```
data_SbMoPI2
_cell_length_a 5.332
_cell_length_b 5.332
_cell_length_c 5.455
_cell_angle_alpha 90.00
_cell_angle_beta 90.00
_cell_angle_gamma 90.00
_symmetry_space_group_name_H-M 'P 1'
_symmetry_Int_Tables_number 1
loop_
_symmetry_equiv_pos_as_xyz
'x,y,z'
loop_
_atom_site_label
_atom_site_type_symbol
_atom_site_fract_x
_atom_site_fract_y
_atom_site_fract_z
I1 I 0.000 0.500 0.000
I2 I 0.500 0.000 0.000
P1 P 0.000 0.000 0.000
Mo1 Mo 0.500 0.500 0.500
Sb1 Sb 0.000 0.000 0.500
```


Material: Cr
Method: DFT, GGA-PBE
State: optimized geometry

## Properties
Raw total energy, eV per atom: -9.1545
Fermi-level density of states, states/eV per cell: 12.4
DFT formation energy, eV/atom: 0.4689
Symmetry: No. 87

The structure in CIF format:
```
data_Cr
_cell_length_a 6.940
_cell_length_b 6.940
_cell_length_c 4.167
_cell_angle_alpha 90.00
_cell_angle_beta 90.00
_cell_angle_gamma 90.00
_symmetry_space_group_name_H-M 'P 1'
_symmetry_Int_Tables_number 1
loop_
_symmetry_equiv_pos_as_xyz
'x,y,z'
loop_
_atom_site_label
_atom_site_type_symbol
_atom_site_fract_x
_atom_site_fract_y
_atom_site_fract_z
Cr1 Cr 0.813 0.143 0.500
Cr2 Cr 0.679 0.019 0.000
Cr3 Cr 0.357 0.313 0.000
Cr4 Cr 0.643 0.687 0.000
Cr5 Cr 0.857 0.813 0.500
Cr6 Cr 0.981 0.679 0.000
Cr7 Cr 0.821 0.481 0.500
Cr8 Cr 0.019 0.321 0.000
Cr9 Cr 0.187 0.857 0.500
Cr10 Cr 0.321 0.981 0.000
Cr11 Cr 0.687 0.357 0.000
Cr12 Cr 0.519 0.821 0.500
Cr13 Cr 0.179 0.519 0.500
Cr14 Cr 0.313 0.643 0.000
Cr15 Cr 0.481 0.179 0.500
Cr16 Cr 0.143 0.187 0.500
```


Material: RbNiAs
Method: DFT, GGA-PBE
State: optimized geometry

## Properties
Raw total energy, eV per atom: -4.1526
Fermi-level density of states, states/eV per cell: 3.9
DFT formation energy, eV/atom: -0.3532
Symmetry: No. 2

The structure in CIF format:
```
data_RbNiAs
_cell_length_a 7.735
_cell_length_b 4.143
_cell_length_c 6.932
_cell_angle_alpha 107.46
_cell_angle_beta 113.58
_cell_angle_gamma 57.51
_symmetry_space_group_name_H-M 'P 1'
_symmetry_Int_Tables_number 1
loop_
_symmetry_equiv_pos_as_xyz
'x,y,z'
loop_
_atom_site_label
_atom_site_type_symbol
_atom_site_fract_x
_atom_site_fract_y
_atom_site_fract_z
Rb1 Rb 0.949 0.479 0.382
Rb2 Rb 0.561 0.069 0.784
Ni1 Ni 0.363 0.957 0.163
Ni2 Ni 0.148 0.593 0.004
As1 As 0.079 0.086 0.855
As2 As 0.431 0.463 0.311
```


Material: SrCuRu2
Method: DFT, GGA-PBE
State: optimized geometry

## Properties
Raw total energy, eV per atom: -5.4306
Fermi-level density of states, states/eV per cell: 6.3
DFT formation energy, eV/atom: 0.6518
Symmetry: No. 123

The structure in CIF format:
```
data_SrCuRu2
_cell_length_a 3.270
_cell_length_b 3.270
_cell_length_c 6.983
_cell_angle_alpha 90.00
_cell_angle_beta 90.00
_cell_angle_gamma 90.00
_symmetry_space_group_name_H-M 'P 1'
_symmetry_Int_Tables_number 1
loop_
_symmetry_equiv_pos_as_xyz
'x,y,z'
loop_
_atom_site_label
_atom_site_type_symbol
_atom_site_fract_x
_atom_site_fract_y
_atom_site_fract_z
Ru1 Ru 0.000 0.000 0.923
Ru2 Ru 0.000 0.000 0.577
Sr1 Sr 0.500 0.500 0.250
Cu1 Cu 0.500 0.500 0.750
```


Material: Ce5Th2Tl
Method: DFT, GGA-PBE
State: optimized geometry

## Properties
Raw total energy, eV per atom: -5.8698
Fermi-level density of states, states/eV per cell: 21.6
DFT formation energy, eV/atom: -0.0104
Symmetry: No. 8

The structure in CIF format:
```
data_Ce5Th2Tl
_cell_length_a 6.792
_cell_length_b 6.790
_cell_length_c 6.670
_cell_angle_alpha 104.97
_cell_angle_beta 104.99
_cell_angle_gamma 119.49
_symmetry_space_group_name_H-M 'P 1'
_symmetry_Int_Tables_number 1
loop_
_symmetry_equiv_pos_as_xyz
'x,y,z'
loop_
_atom_site_label
_atom_site_type_symbol
_atom_site_fract_x
_atom_site_fract_y
_atom_site_fract_z
Tl1 Tl 0.795 0.760 0.000
Ce1 Ce 0.300 0.765 0.000
Ce2 Ce 0.790 0.255 0.000
Ce3 Ce 0.747 0.810 0.500
Ce4 Ce 0.247 0.310 0.500
Ce5 Ce 0.353 0.202 0.000
Th1 Th 0.760 0.326 0.530
Th2 Th 0.230 0.796 0.470
```


Material: Ru2RhCl
Method: DFT, GGA-PBE
State: optimized geometry

## Properties
Raw total energy, eV per atom: -6.5912
Fermi-level density of states, states/eV per cell: 5.5
Symmetry: No. 160

The structure in CIF format:
```
data_Ru2RhCl
_cell_length_a 8.518
_cell_length_b 8.518
_cell_length_c 8.518
_cell_angle_alpha 19.17
_cell_angle_beta 19.17
_cell_angle_gamma 19.17
_symmetry_space_group_name_H-M 'P 1'
_symmetry_Int_Tables_number 1
loop_
_symmetry_equiv_pos_as_xyz
'x,y,z'
loop_
_atom_site_label
_atom_site_type_symbol
_atom_site_fract_x
_atom_site_fract_y
_atom_site_fract_z
Cl1 Cl 0.498 0.498 0.498
Ru1 Ru 0.002 0.002 0.002
Ru2 Ru 0.751 0.751 0.751
Rh1 Rh 0.250 0.250 0.250
```


Material: MnCuSn
Method: DFT, GGA-PBE
State: optimized geometry

## Properties
Raw total energy, eV per atom: -5.5698
Fermi-level density of states, states/eV per cell: 1.2
DFT formation energy, eV/atom: 0.1864
Symmetry: No. 156

The structure in CIF format:
```
data_MnCuSn
_cell_length_a 3.019
_cell_length_b 4.369
_cell_length_c 4.369
_cell_angle_alpha 120.00
_cell_angle_beta 90.00
_cell_angle_gamma 90.00
_symmetry_space_group_name_H-M 'P 1'
_symmetry_Int_Tables_number 1
loop_
_symmetry_equiv_pos_as_xyz
'x,y,z'
loop_
_atom_site_label
_atom_site_type_symbol
_atom_site_fract_x
_atom_site_fract_y
_atom_site_fract_z
Sn1 Sn 0.759 0.667 0.333
Cu1 Cu 0.929 0.000 0.000
Mn1 Mn 0.312 0.333 0.667
```


Material: MgAlIrRh
Method: DFT, GGA-PBE
State: optimized geometry

## Properties
Raw total energy, eV per atom: -6.1623
Fermi-level density of states, states/eV per cell: 1.3
DFT formation energy, eV/atom: -0.7749
Symmetry: No. 216

The structure in CIF format:
```
data_MgAlIrRh
_cell_length_a 4.317
_cell_length_b 4.317
_cell_length_c 4.317
_cell_angle_alpha 60.00
_cell_angle_beta 60.00
_cell_angle_gamma 60.00
_symmetry_space_group_name_H-M 'P 1'
_symmetry_Int_Tables_number 1
loop_
_symmetry_equiv_pos_as_xyz
'x,y,z'
loop_
_atom_site_label
_atom_site_type_symbol
_atom_site_fract_x
_atom_site_fract_y
_atom_site_fract_z
Rh1 Rh 0.500 0.500 0.500
Al1 Al 0.750 0.750 0.750
Mg1 Mg 0.250 0.250 0.250
Ir1 Ir 0.000 0.000 0.000
```